# 1
# Ta2InOs

Ta2InOs at its PBEsol-relaxed geometry (SCAN, the Alexandria database).

Cell lengths 5.702, 8.113, 2.933 Å; angles 90.00, 90.00, 90.00 degrees
Space group Cmmm (No. 65)
Asymmetric unit:
Ta  0.250  0.250  0.000 x4
In  0.000  0.000  0.500 x2
Os  0.000  0.500  0.500 x2

Summary:
electronic total energy	-59.584	eV per atom
N(E_F)	4.61	states/eV per cell
V	135.7	Å³ per cell
ΔH_f (0 K)	0.10	eV per formula unit



# 2
# TaInOs

TaInOs at its PBEsol-relaxed geometry (SCAN, the Alexandria database).

Cell lengths 3.033, 4.908, 14.041 Å; angles 90.00, 90.00, 90.00 degrees
Space group Fmm2 (No. 42)
Asymmetric unit:
Ta  0.000  0.000  0.000 x4
In  0.000  0.000  0.680 x4
Os  0.000  0.000  0.350 x4

Summary:
electronic total energy	-57.020	eV per atom
N(E_F)	9.70	states/eV per cell
V	209.0	Å³ per cell
ΔH_f (0 K)	0.79	eV per formula unit



# 3
# Ta2InOs

Ta2InOs at its PBEsol-relaxed geometry (SCAN, the Alexandria database).

Cell lengths 3.099, 3.703, 6.037 Å; angles 90.00, 90.00, 90.00 degrees
Space group Pmm2 (No. 25)
Asymmetric unit:
Ta  0.000  0.000  0.000 x1
Ta  0.500  0.500  0.248 x1
In  0.000  0.000  0.519 x1
Os  0.500  0.500  0.785 x1

Summary:
electronic total energy	-59.547	eV per atom
N(E_F)	2.01	states/eV per cell
V	69.3	Å³ per cell
ΔH_f (0 K)	0.24	eV per formula unit